1.
MgZrHg2 after structural relaxation, computed with PBE-GGA.

Unit cell a=9.853 b=9.853 c=9.853 alpha=19.04 beta=19.04 gamma=19.04
Positions (direct):
Hg1 0.998 0.998 0.998
Hg2 0.502 0.502 0.502
Mg1 0.250 0.250 0.250
Zr1 0.750 0.750 0.750

Summary:
D(E_F) ... 0.85 states/eV/atom
Energy relative to the elements ... -0.06 eV/atom

2.
HfRuO3 after structural relaxation, computed with PBE-GGA.

Unit cell a=4.053 b=4.053 c=4.053 alpha=90.00 beta=90.00 gamma=90.00
Positions (direct):
Ru1 0.500 0.500 0.500
Hf1 0.000 0.000 0.000
O1 0.000 0.500 0.000
O2 0.000 0.000 0.500
O3 0.500 0.000 0.000

Summary:
Raw formation energy ... -1.48 eV/atom
D(E_F) ... 0.68 states/eV/atom

Question: Among the records above, which one has the lowest D(E_F)?
Answer: HfRuO3